Entry 1:
Compound: Fe2ReIr
Source: Alexandria
Functional: PBE-GGA
Structure: optimized geometry

Cell lengths 5.2616, 5.2616, 6.4085 Å; angles 65.76, 65.76, 90.00 degrees
With the nearest neighbours (Å) after each atom.
Element x y z (fractional)
Re (0.2500, 0.7500, 0.5000)  4 Fe 2.28
Re (0.5000, 0.5000, 0.0000)  4 Fe 2.28
Fe (0.1222, 0.6250, 0.2500)  2 Ir 2.26, 2 Re 2.28
Fe (0.3750, 0.3722, 0.7500)  2 Ir 2.26, 2 Re 2.28
Fe (0.8750, 0.8778, 0.7500)  2 Ir 2.26, 2 Re 2.28
Fe (0.6278, 0.1250, 0.2500)  2 Ir 2.26, 2 Re 2.28
Ir (0.7500, 0.2500, 0.5000)  4 Fe 2.26
Ir (0.0000, 0.0000, 0.0000)  4 Fe 2.26

Values from the calculation:
* ΔE_f: 1.2136 eV per atom
* magnetic moment: 0.00 μB/atom
* DOS at the Fermi energy: 9.54 states/eV/cell


Entry 2:
Compound: Ta3BCl
Source: Alexandria
Functional: PBE-GGA
Structure: optimized geometry

Cell lengths 4.4221, 4.4221, 4.4221 Å; angles 90.00, 90.00, 90.00 degrees
With the nearest neighbours (Å) after each atom.
Element x y z (fractional)
Ta (0.5000, 0.0000, 0.0000)  2 B 2.21
Ta (0.0000, 0.5000, 0.0000)  2 B 2.21
Ta (0.0000, 0.0000, 0.5000)  2 B 2.21
B (0.0000, 0.0000, 0.0000)  6 Ta 2.21
Cl (0.5000, 0.5000, 0.5000)  12 Ta 3.13

Values from the calculation:
* formation energy (no corrections): 0.75 eV per atom
* magnetic moment: 0.00 μB/atom
* DOS at the Fermi energy: 9.37 states/eV/cell


Entry 3:
Compound: InAg2Pd2
Source: Alexandria
Functional: PBE-GGA
Structure: optimized geometry

Cell lengths 3.8166, 3.8166, 7.2817 Å; angles 74.81, 74.81, 90.00 degrees
With the nearest neighbours (Å) after each atom.
Element x y z (fractional)
Ag (0.3986, 0.3986, 0.2027)  1 Ag 2.74, 4 Pd 2.77, 4 In 3.03
Ag (0.6014, 0.6014, 0.7973)  1 Ag 2.74, 4 Pd 2.77, 4 In 3.03
Pd (0.7500, 0.2500, 0.5000)  4 Pd 2.70, 4 Ag 2.77
Pd (0.2500, 0.7500, 0.5000)  4 Pd 2.70, 4 Ag 2.77
In (0.0000, 0.0000, 0.0000)  8 Ag 3.03

Values from the calculation:
* ΔE_f: 0.1407 eV per atom
* magnetic moment: 0.00 μB/atom
* DOS at the Fermi energy: 2.01 states/eV/cell


- DOS at the Fermi energy of number 3 (InAg2Pd2)?
  2.01 states/eV/cell


- The highest DOS at the Fermi energy belongs to which entry?
  Fe2ReIr


- Which value of magnetic moment does entry 1 give?
  0.00 μB/atom